[1]
DFT (PBE) results for AcPtSe2O8 after structural relaxation.

The structure in POSCAR format:
```
AcPtSe2O8
1.0
5.938 0.000 0.000
-2.969 5.142 0.000
0.000 0.000 6.827
Ac Pt Se O
1 1 2 8
direct
0.000 0.000 0.000
0.000 0.000 0.500
0.333 0.667 0.305
0.667 0.333 0.695
0.146 0.293 0.303
0.146 0.854 0.303
0.293 0.146 0.697
0.333 0.667 0.060
0.667 0.333 0.940
0.707 0.854 0.303
0.854 0.146 0.697
0.854 0.707 0.697
```

Uncorrected formation energy, eV/atom: -1.097
Total DFT energy (no corrections), eV per atom: -5.8291

[2]
DFT (PBE) results for PrY2HoSc after structural relaxation.

The structure in POSCAR format:
```
PrY2HoSc
1.0
4.117 -5.641 0.000
4.117 5.641 0.000
0.000 0.000 7.149
Pr Y Ho Sc
2 4 2 2
direct
0.232 0.768 0.750
0.768 0.232 0.250
0.198 0.198 0.000
0.198 0.198 0.500
0.802 0.802 0.000
0.802 0.802 0.500
0.234 0.766 0.250
0.766 0.234 0.750
0.495 0.505 0.750
0.505 0.495 0.250
```

Energy of formation, eV per atom: 0.33
Total DFT energy (no corrections), eV per atom: -5.3950

[3]
DFT (PBE) results for Hf2NpNiN4 after structural relaxation.

The structure in POSCAR format:
```
Hf2NpNiN4
1.0
1.599 -5.382 0.000
1.599 5.382 0.000
0.000 0.000 11.012
Hf Np Ni N
4 2 2 8
direct
0.132 0.868 0.556
0.132 0.868 0.944
0.868 0.132 0.056
0.868 0.132 0.444
0.389 0.611 0.750
0.611 0.389 0.250
0.342 0.658 0.250
0.658 0.342 0.750
0.042 0.958 0.750
0.228 0.772 0.114
0.228 0.772 0.386
0.500 0.500 0.000
0.500 0.500 0.500
0.772 0.228 0.614
0.772 0.228 0.886
0.958 0.042 0.250
```

Uncorrected formation energy, eV/atom: -1.281
Total DFT energy (no corrections), eV per atom: -10.2727

[4]
DFT (PBE) results for NdY3Ho6Th2 after structural relaxation.

The structure in POSCAR format:
```
NdY3Ho6Th2
1.0
3.092 -5.351 0.000
3.092 5.351 0.000
-2.063 0.000 11.570
Nd Y Ho Th
1 3 6 2
direct
0.000 0.000 0.000
0.166 0.834 0.500
0.500 0.500 0.500
0.834 0.166 0.500
0.083 0.421 0.248
0.255 0.255 0.752
0.421 0.083 0.248
0.579 0.917 0.752
0.745 0.745 0.248
0.917 0.579 0.752
0.333 0.667 0.000
0.667 0.333 0.000
```

Energy of formation, eV per atom: 0.03
Total DFT energy (no corrections), eV per atom: -5.5067

[5]
DFT (PBE) results for Nb3V2Ru after structural relaxation.

The structure in POSCAR format:
```
Nb3V2Ru
1.0
2.248 -6.713 0.000
2.248 6.713 0.000
0.000 0.000 3.163
Nb V Ru
3 2 1
direct
0.000 0.000 0.000
0.332 0.668 0.000
0.668 0.332 0.000
0.166 0.834 0.500
0.834 0.166 0.500
0.500 0.500 0.500
```

Energy of formation, eV per atom: -0.15
Total DFT energy (no corrections), eV per atom: -9.7693

[6]
DFT (PBE) results for RbErPbCl6 after structural relaxation.

The structure in POSCAR format:
```
RbErPbCl6
1.0
7.320 0.000 0.000
-3.660 6.339 0.000
0.000 0.000 7.071
Rb Er Pb Cl
1 1 1 6
direct
0.000 0.000 0.000
0.333 0.667 0.500
0.667 0.333 0.500
0.029 0.384 0.285
0.029 0.645 0.715
0.355 0.384 0.715
0.355 0.971 0.285
0.616 0.645 0.285
0.616 0.971 0.715
```

Uncorrected formation energy, eV/atom: -1.880
Total DFT energy (no corrections), eV per atom: -4.1379

[7]
DFT (PBE) results for CuNiBiRu2 after structural relaxation.

The structure in POSCAR format:
```
CuNiBiRu2
1.0
4.528 0.000 0.000
0.000 4.528 0.000
0.000 0.000 4.882
Cu Ni Bi Ru
1 1 1 2
direct
0.000 0.000 0.000
0.500 0.500 0.500
0.000 0.000 0.500
0.000 0.500 0.000
0.500 0.000 0.000
```

Energy of formation, eV per atom: 1.61
Total DFT energy (no corrections), eV per atom: -4.8484

[8]
DFT (PBE) results for HfNiSN2 after structural relaxation.

The structure in POSCAR format:
```
HfNiSN2
1.0
3.764 0.000 0.000
0.000 3.764 0.000
0.000 0.000 4.272
Hf Ni S N
1 1 1 2
direct
0.000 0.000 0.000
0.500 0.500 0.500
0.500 0.500 0.000
0.000 0.500 0.500
0.500 0.000 0.500
```

Uncorrected formation energy, eV/atom: 0.428
Total DFT energy (no corrections), eV per atom: -6.8741

[9]
DFT (PBE) results for CrSb2As after structural relaxation.

The structure in POSCAR format:
```
CrSb2As
1.0
3.475 0.000 0.000
0.000 3.452 0.000
-0.018 0.000 7.021
Cr Sb As
1 2 1
direct
0.000 0.000 0.000
0.499 0.500 0.779
0.501 0.500 0.221
0.000 0.000 0.500
```

Uncorrected formation energy, eV/atom: 0.340
Total DFT energy (no corrections), eV per atom: -5.2892

[10]
DFT (PBE) results for ZrFeN after structural relaxation.

The structure in POSCAR format:
```
ZrFeN
1.0
3.573 0.000 0.000
0.000 3.573 0.000
0.000 0.000 6.133
Zr Fe N
2 2 2
direct
0.000 0.000 0.250
0.000 0.000 0.750
0.500 0.500 0.000
0.500 0.500 0.500
0.000 0.500 0.000
0.500 0.000 0.500
```

Uncorrected formation energy, eV/atom: -0.782
Total DFT energy (no corrections), eV per atom: -9.2279

[11]
DFT (PBE) results for Ta5Ge after structural relaxation.

The structure in POSCAR format:
```
Ta5Ge
1.0
2.254 -6.791 0.000
2.254 6.791 0.000
0.000 0.000 3.480
Ta Ge
5 1
direct
0.000 0.000 0.000
0.162 0.838 0.500
0.335 0.665 0.000
0.665 0.335 0.000
0.838 0.162 0.500
0.500 0.500 0.500
```

Energy of formation, eV per atom: -0.09
Total DFT energy (no corrections), eV per atom: -10.7360

[12]
DFT (PBE) results for K2InAuI6 after structural relaxation.

The structure in POSCAR format:
```
K2InAuI6
1.0
0.000 5.931 5.931
5.931 0.000 5.931
5.931 5.931 0.000
K In Au I
2 1 1 6
direct
0.250 0.250 0.250
0.750 0.750 0.750
0.000 0.000 0.000
0.500 0.500 0.500
0.252 0.252 0.748
0.252 0.748 0.252
0.252 0.748 0.748
0.748 0.252 0.252
0.748 0.252 0.748
0.748 0.748 0.252
```

Uncorrected formation energy, eV/atom: -0.704
Total DFT energy (no corrections), eV per atom: -2.4554

[13]
DFT (PBE) results for YZnCl2 after structural relaxation.

The structure in POSCAR format:
```
YZnCl2
1.0
3.517 0.000 0.000
0.000 3.517 0.000
0.000 0.000 8.099
Y Zn Cl
1 1 2
direct
0.000 0.000 0.000
0.500 0.500 0.226
0.000 0.000 0.367
0.500 0.500 0.806
```

Uncorrected formation energy, eV/atom: -1.090
Total DFT energy (no corrections), eV per atom: -3.9481

[14]
DFT (PBE) results for BaCr2Ag after structural relaxation.

The structure in POSCAR format:
```
BaCr2Ag
1.0
-2.366 2.366 4.548
2.366 -2.366 4.548
2.366 2.366 -4.548
Ba Cr Ag
1 2 1
direct
0.000 0.000 0.000
0.250 0.750 0.500
0.750 0.250 0.500
0.500 0.500 0.000
```

Energy of formation, eV per atom: 0.87
Total DFT energy (no corrections), eV per atom: -5.1346

[15]
DFT (PBE) results for La2ZnCdCo after structural relaxation.

The structure in POSCAR format:
```
La2ZnCdCo
1.0
5.186 0.000 0.000
0.000 5.186 0.000
0.000 0.000 5.054
La Zn Cd Co
2 1 1 1
direct
0.000 0.500 0.000
0.500 0.000 0.000
0.000 0.000 0.500
0.500 0.500 0.500
0.500 0.500 0.000
```

Energy of formation, eV per atom: -0.14
Total DFT energy (no corrections), eV per atom: -3.9726

[16]
DFT (PBE) results for RbSc2GaHg after structural relaxation.

The structure in POSCAR format:
```
RbSc2GaHg
1.0
5.225 0.000 0.000
0.000 5.225 0.000
0.000 0.000 6.596
Rb Sc Ga Hg
1 2 1 1
direct
0.000 0.000 0.000
0.000 0.500 0.500
0.500 0.000 0.500
0.000 0.000 0.500
0.500 0.500 0.000
```

Energy of formation, eV per atom: 0.33
Total DFT energy (no corrections), eV per atom: -3.0569

[17]
DFT (PBE) results for Tl2FeAgSb after structural relaxation.

The structure in POSCAR format:
```
Tl2FeAgSb
1.0
5.364 0.000 0.000
0.000 5.364 0.000
0.000 0.000 5.028
Tl Fe Ag Sb
2 1 1 1
direct
0.000 0.500 0.000
0.500 0.000 0.000
0.000 0.000 0.500
0.000 0.000 0.000
0.500 0.500 0.500
```

Uncorrected formation energy, eV/atom: 0.787
Total DFT energy (no corrections), eV per atom: -3.2466

[18]
DFT (PBE) results for Co3Ag5 after structural relaxation.

The structure in POSCAR format:
```
Co3Ag5
1.0
7.613 0.000 0.000
-3.807 6.593 0.000
0.000 0.000 5.093
Co Ag
6 10
direct
0.000 0.419 0.250
0.000 0.581 0.750
0.419 0.000 0.250
0.419 0.419 0.750
0.581 0.000 0.750
0.581 0.581 0.250
0.000 0.226 0.750
0.000 0.774 0.250
0.226 0.000 0.750
0.226 0.226 0.250
0.333 0.667 0.000
0.333 0.667 0.500
0.667 0.333 0.000
0.667 0.333 0.500
0.774 0.000 0.250
0.774 0.774 0.750
```

Energy of formation, eV per atom: 0.55
Total DFT energy (no corrections), eV per atom: -3.8943

[19]
DFT (PBE) results for TaCdSbI2 after structural relaxation.

The structure in POSCAR format:
```
TaCdSbI2
1.0
5.628 0.000 0.000
0.000 5.628 0.000
0.000 0.000 5.648
Ta Cd Sb I
1 1 1 2
direct
0.000 0.000 0.000
0.500 0.500 0.500
0.500 0.500 0.000
0.000 0.500 0.500
0.500 0.000 0.500
```

Uncorrected formation energy, eV/atom: 1.313
Total DFT energy (no corrections), eV per atom: -2.6847

[20]
DFT (PBE) results for NbPdPb3 after structural relaxation.

The structure in POSCAR format:
```
NbPdPb3
1.0
5.262 0.000 0.000
0.000 5.262 0.000
0.000 0.000 5.262
Nb Pd Pb
1 1 3
direct
0.000 0.000 0.000
0.500 0.500 0.500
0.000 0.500 0.500
0.500 0.000 0.500
0.500 0.500 0.000
```

Energy of formation, eV per atom: 0.93
Total DFT energy (no corrections), eV per atom: -4.3484

[21]
DFT (PBE) results for ScMnC after structural relaxation.

The structure in POSCAR format:
```
ScMnC
1.0
3.300 0.000 0.000
-1.650 2.858 0.000
0.000 0.000 4.009
Sc Mn C
1 1 1
direct
0.000 0.000 0.000
0.667 0.333 0.545
0.333 0.667 0.595
```

Energy of formation, eV per atom: -0.09
Total DFT energy (no corrections), eV per atom: -8.3352

[22]
DFT (PBE) results for SrCdAsBr2 after structural relaxation.

The structure in POSCAR format:
```
SrCdAsBr2
1.0
5.855 0.000 0.000
0.000 5.855 0.000
0.000 0.000 6.460
Sr Cd As Br
1 1 1 2
direct
0.000 0.000 0.000
0.500 0.500 0.500
0.000 0.000 0.500
0.000 0.500 0.000
0.500 0.000 0.000
```

Uncorrected formation energy, eV/atom: -0.445
Total DFT energy (no corrections), eV per atom: -2.5630

[23]
DFT (PBE) results for PuZnGe after structural relaxation.

The structure in POSCAR format:
```
PuZnGe
1.0
-1.298 1.298 7.620
1.298 -1.298 7.620
1.298 1.298 -7.620
Pu Zn Ge
1 1 1
direct
0.000 0.000 0.000
0.661 0.661 0.000
0.335 0.335 0.000
```

Energy of formation, eV per atom: 0.28
Total DFT energy (no corrections), eV per atom: -6.4631

[24]
DFT (PBE) results for Pr7DySc4 after structural relaxation.

The structure in POSCAR format:
```
Pr7DySc4
1.0
6.219 0.000 0.000
0.018 7.158 0.000
2.053 0.008 8.548
Pr Dy Sc
7 1 4
direct
0.000 0.000 0.000
0.224 0.502 0.335
0.290 0.245 0.659
0.498 0.758 0.988
0.502 0.242 0.012
0.710 0.755 0.341
0.776 0.498 0.665
0.000 0.500 0.000
0.211 0.999 0.342
0.269 0.760 0.664
0.731 0.240 0.336
0.789 0.001 0.658
```

Energy of formation, eV per atom: 0.05
Total DFT energy (no corrections), eV per atom: -5.2367

[25]
DFT (PBE) results for RbNaSr2Ga after structural relaxation.

The structure in POSCAR format:
```
RbNaSr2Ga
1.0
6.341 0.000 0.000
0.000 6.341 0.000
0.000 0.000 6.247
Rb Na Sr Ga
1 1 2 1
direct
0.000 0.000 0.000
0.500 0.500 0.000
0.000 0.500 0.500
0.500 0.000 0.500
0.500 0.500 0.500
```

Energy of formation, eV per atom: 0.01
Total DFT energy (no corrections), eV per atom: -1.7231

[26]
DFT (PBE) results for YPuU2As4 after structural relaxation.

The structure in POSCAR format:
```
YPuU2As4
1.0
7.101 0.000 0.000
0.000 4.075 0.000
-2.336 0.000 6.763
Y Pu U As
1 1 2 4
direct
0.000 0.000 0.000
0.000 0.500 0.500
0.500 0.000 0.500
0.500 0.500 0.000
0.254 0.000 0.752
0.255 0.500 0.250
0.745 0.500 0.750
0.746 0.000 0.248
```

Energy of formation, eV per atom: -0.99
Total DFT energy (no corrections), eV per atom: -8.7341